<a>
An optimized crystal structure of Ni8B2P, computed with PBE.

Computed properties:
N(E_F)	6.19	states/eV per cell
crystal system	orthorhombic

Cell lengths 7.227, 7.227, 7.227 Å; angles 158.96, 123.24, 61.22 degrees
Fractional coordinates of all 11 atoms:
1 Ni 0.144 0.327 0.817
2 Ni 0.147 0.147 0.000
3 Ni 0.277 0.000 0.277
4 Ni 0.490 0.673 0.817
5 Ni 0.510 0.327 0.183
6 Ni 0.723 0.000 0.723
7 Ni 0.853 0.853 0.000
8 Ni 0.856 0.673 0.183
9 B 0.391 0.891 0.500
10 B 0.609 0.109 0.500
11 P 0.000 0.500 0.500


<b>
An optimized crystal structure of Ni8B2P, computed with PBE.

Computed properties:
N(E_F)	7.14	states/eV per cell
crystal system	monoclinic

Cell lengths 6.682, 6.682, 5.050 Å; angles 106.74, 106.74, 30.48 degrees
Fractional coordinates of all 11 atoms:
1 Ni 0.037 0.037 0.276
2 Ni 0.206 0.206 0.826
3 Ni 0.325 0.325 0.528
4 Ni 0.405 0.405 0.034
5 Ni 0.595 0.595 0.966
6 Ni 0.675 0.675 0.472
7 Ni 0.794 0.794 0.174
8 Ni 0.963 0.963 0.724
9 B 0.185 0.185 0.203
10 B 0.815 0.815 0.797
11 P 0.500 0.500 0.500


Compare the structures above. Which one is the least stable? <a> is.